# Sr2CrAs

Sr2CrAs after structural relaxation (GGA-PBE, Alexandria via LeMat-Bulk).

a = 3.6765 Å, b = 3.6765 Å, c = 9.0625 Å
α = 90.00°, β = 90.00°, γ = 90.00°
With the nearest neighbours (Å) after each atom.
Element x y z (fractional)
Cr 0.5000 0.5000 0.6619  4 As 2.71
As 0.0000 0.0000 0.5767  4 Cr 2.71
Sr 0.5000 0.5000 0.3253  1 Cr 3.05
Sr 0.0000 0.0000 0.9361  1 As 3.26, 4 Cr 3.60

- DFT formation energy: -35.3 meV/atom
- Volume: 30.6 A^3/atom